{"formula": "OsPt2Pb", "functional": "GGA-PBE", "state": "optimized geometry", "dos_at_fermi_per_ev_atom": 0.896, "formation_enthalpy_0k_kj_per_mol_fu": 161, "lattice": [[2.935, 0.000, 0.000], [-1.468, 2.542, 0.000], [0.000, 0.000, 28.805]], "species": ["Os", "Os", "Os", "Pt", "Pt", "Pt", "Pt", "Pt", "Pt", "Pb", "Pb", "Pb"], "frac_coords": [[0.000, 0.000, 0.000], [0.333, 0.667, 0.667], [0.667, 0.333, 0.333], [0.000, 0.000, 0.259], [0.000, 0.000, 0.741], [0.333, 0.667, 0.407], [0.333, 0.667, 0.926], [0.667, 0.333, 0.074], [0.667, 0.333, 0.593], [0.000, 0.000, 0.500], [0.333, 0.667, 0.167], [0.667, 0.333, 0.833]]}